A plane-wave DFT calculation with GGA-PBE was carried out for a geometry-optimized PmSm2Cu structure.

Computed properties:
crystal system: trigonal
excess energy over the best structure of this formula in the dataset: 0.47 eV per formula unit
energy of formation: 0.048 eV per atom
DFT total energy: -18.1 eV/cell

Cell: 3.6563 3.6563 10.3536 Å, 79.83 79.83 60.00°
Positions (direct):
Sm  0.7345  0.7345  0.7964
Sm  0.2655  0.2655  0.2036
Pm  0.5000  0.5000  0.5000
Cu  0.0000  0.0000  0.0000